No. 1
First-principles (PBE) data for crystalline BaLa3 at its relaxed geometry, as listed in Alexandria.

abc: 6.838 6.838 6.838
angles: 90.00 90.00 90.00
Fractional positions:
1 Ba 0.000 0.000 0.000
2 Ba 0.500 0.500 0.500
3 La 0.000 0.250 0.500
4 La 0.000 0.750 0.500
5 La 0.250 0.500 0.000
6 La 0.500 0.000 0.250
7 La 0.500 0.000 0.750
8 La 0.750 0.500 0.000

## Properties
volume	40.0	A^3/atom
energy of formation from the pure elements	0.27	eV per atom
energy	-31.3	eV/cell
energy above the lowest structure with this stoichiometry	71	kJ/mol of formula units
crystal system	cubic

---

No. 2
First-principles (PBE) data for crystalline ZrCuW2 at its relaxed geometry, as listed in Alexandria.

abc: 2.782 2.782 9.000
angles: 90.00 90.00 107.73
Fractional positions:
1 Zr 0.000 0.000 0.000
2 Cu 0.500 0.500 0.743
3 W 0.000 0.000 0.516
4 W 0.500 0.500 0.273

## Properties
volume	16.6	A^3/atom
energy of formation from the pure elements	0.17	eV per atom
energy	-37.9	eV/cell
energy above the lowest structure with this stoichiometry	18	kJ/mol of formula units
crystal system	orthorhombic

---

No. 3
First-principles (PBE) data for crystalline CdNiCl at its relaxed geometry, as listed in Alexandria.

abc: 6.648 6.239 3.275
angles: 82.33 68.45 29.22
Fractional positions:
1 Cd 0.000 0.000 0.000
2 Ni 0.335 0.335 0.665
3 Cl 0.699 0.699 0.301

## Properties
volume	18.7	A^3/atom
formation energy without anion corrections	0.03	eV per atom
energy	-8.5	eV/cell
energy above the lowest structure with this stoichiometry	26	kJ/mol of formula units
crystal system	orthorhombic

---

No. 4
First-principles (PBE) data for crystalline Nd5Sc2Bi5 at its relaxed geometry, as listed in Alexandria.

abc: 7.788 7.788 12.808
angles: 111.76 111.76 33.65
Fractional positions:
1 Nd 0.000 0.000 0.000
2 Nd 0.164 0.164 0.535
3 Nd 0.227 0.227 0.845
4 Nd 0.773 0.773 0.155
5 Nd 0.836 0.836 0.465
6 Sc 0.444 0.444 0.700
7 Sc 0.556 0.556 0.300
8 Bi 0.182 0.182 0.280
9 Bi 0.391 0.391 0.087
10 Bi 0.500 0.500 0.500
11 Bi 0.609 0.609 0.913
12 Bi 0.818 0.818 0.720

## Properties
volume	33.1	A^3/atom
energy of formation from the pure elements	-0.65	eV per atom
energy	-63.8	eV/cell
crystal system	monoclinic

---

No. 5
First-principles (PBE) data for crystalline MnZn6Cu8 at its relaxed geometry, as listed in Alexandria.

abc: 6.611 6.611 6.611
angles: 59.43 59.43 59.43
Fractional positions:
1 Mn 0.000 0.000 0.000
2 Zn 0.063 0.535 0.237
3 Zn 0.237 0.063 0.535
4 Zn 0.465 0.763 0.937
5 Zn 0.535 0.237 0.063
6 Zn 0.763 0.937 0.465
7 Zn 0.937 0.465 0.763
8 Cu 0.156 0.156 0.156
9 Cu 0.229 0.693 0.395
10 Cu 0.307 0.605 0.771
11 Cu 0.395 0.229 0.693
12 Cu 0.605 0.771 0.307
13 Cu 0.693 0.395 0.229
14 Cu 0.771 0.307 0.605
15 Cu 0.844 0.844 0.844

## Properties
volume	13.4	A^3/atom
energy of formation from the pure elements	0.03	eV per atom
energy	-49.1	eV/cell
energy above the lowest structure with this stoichiometry	28	kJ/mol of formula units
crystal system	trigonal

---

No. 6
First-principles (PBE) data for crystalline Pm2Nd5Ho2 at its relaxed geometry, as listed in Alexandria.

abc: 6.312 6.312 10.913
angles: 106.89 106.89 48.15
Fractional positions:
1 Pm 0.001 0.001 0.168
2 Pm 0.999 0.999 0.832
3 Nd 0.000 0.000 0.500
4 Nd 0.333 0.333 0.611
5 Nd 0.333 0.333 0.945
6 Nd 0.667 0.667 0.055
7 Nd 0.667 0.667 0.389
8 Ho 0.333 0.333 0.277
9 Ho 0.667 0.667 0.723

## Properties
volume	34.1	A^3/atom
energy of formation from the pure elements	0.02	eV per atom
energy	-42.4	eV/cell
energy above the lowest structure with this stoichiometry	0	kJ/mol of formula units
crystal system	monoclinic

---

No. 7
First-principles (PBE) data for crystalline BeAl2Tl at its relaxed geometry, as listed in Alexandria.

abc: 4.943 4.943 3.269
angles: 90.00 90.00 112.50
Fractional positions:
1 Be 0.000 0.000 0.000
2 Al 0.000 0.500 0.500
3 Al 0.500 0.000 0.500
4 Tl 0.500 0.500 0.000

## Properties
volume	18.4	A^3/atom
energy of formation from the pure elements	0.54	eV per atom
energy	-11.4	eV/cell
energy above the lowest structure with this stoichiometry	81	kJ/mol of formula units
crystal system	orthorhombic

---

No. 8
First-principles (PBE) data for crystalline EuErCdPd at its relaxed geometry, as listed in Alexandria.

abc: 5.191 5.191 5.191
angles: 60.00 60.00 60.00
Fractional positions:
1 Eu 0.000 0.000 0.000
2 Er 0.500 0.500 0.500
3 Cd 0.250 0.250 0.250
4 Pd 0.750 0.750 0.750

## Properties
volume	24.7	A^3/atom
energy of formation from the pure elements	-0.47	eV per atom
energy	-22.8	eV/cell
crystal system	cubic